The following is a DFT calculation (PBE) of a relaxed structure of YCdCl5.

Computed properties:
**Space-group type**: C2/c
**Energy relative to the elements, uncorrected**: -1.716 eV per atom
**Uncorrected energy**: -4.09 eV per atom

The structure in POSCAR format:
```
YCdCl5
1.0
3.7264 -6.7087 0.0000
3.7264 6.7087 0.0000
-3.4048 0.0000 9.0704
Y Cd Cl
2 2 10
Direct
0.0000 0.0000 0.0000
0.0000 0.0000 0.5000
0.4591 0.5409 0.7500
0.5409 0.4591 0.2500
0.0561 0.3566 0.6564
0.0849 0.9151 0.7500
0.2515 0.4256 0.0467
0.3566 0.0561 0.1564
0.4256 0.2515 0.5467
0.5744 0.7485 0.4533
0.6434 0.9439 0.8436
0.7485 0.5744 0.9533
0.9151 0.0849 0.2500
0.9439 0.6434 0.3436
```

The following is a DFT calculation (PBE) of a relaxed structure of Er3HgS2.

Computed properties:
**Space-group type**: Cmcm
**Energy relative to the elements, uncorrected**: -1.226 eV per atom
**Uncorrected energy**: -4.93 eV per atom

The structure in POSCAR format:
```
Er3HgS2
1.0
2.3070 -6.2442 0.0000
2.3070 6.2442 0.0000
0.0000 0.0000 9.8259
Er Hg S
6 2 4
Direct
0.1043 0.8957 0.7500
0.3627 0.6373 0.5537
0.3627 0.6373 0.9463
0.6373 0.3627 0.0537
0.6373 0.3627 0.4463
0.8957 0.1043 0.2500
0.2300 0.7700 0.2500
0.7700 0.2300 0.7500
0.0000 0.0000 0.0000
0.0000 0.0000 0.5000
0.4880 0.5120 0.2500
0.5120 0.4880 0.7500
```

The following is a DFT calculation (PBE) of a relaxed structure of LaScAs2Br.

Computed properties:
**Space-group type**: P4/mmm
**Energy relative to the elements, uncorrected**: 0.348 eV per atom
**Uncorrected energy**: -4.10 eV per atom

The structure in POSCAR format:
```
LaScAs2Br
1.0
5.3936 0.0000 0.0000
0.0000 5.3936 0.0000
0.0000 0.0000 5.3217
La Sc As Br
1 1 2 1
Direct
0.0000 0.0000 0.0000
0.5000 0.5000 0.0000
0.0000 0.5000 0.5000
0.5000 0.0000 0.5000
0.0000 0.0000 0.5000
```

The following is a DFT calculation (PBE) of a relaxed structure of RbB2TeO8.

Computed properties:
**Space-group type**: C2/m
**Energy relative to the elements, uncorrected**: -1.398 eV per atom
**Uncorrected energy**: -6.16 eV per atom

The structure in POSCAR format:
```
RbB2TeO8
1.0
3.9426 -2.6309 0.0000
3.9426 2.6309 0.0000
-3.2445 0.0000 6.7821
Rb B Te O
1 2 1 8
Direct
0.0000 0.0000 0.0000
0.4464 0.4464 0.6858
0.5536 0.5536 0.3142
0.0000 0.0000 0.5000
0.2162 0.6808 0.2972
0.2573 0.2573 0.5469
0.3192 0.7838 0.7028
0.4212 0.4212 0.9139
0.5788 0.5788 0.0861
0.6808 0.2162 0.2972
0.7427 0.7427 0.4531
0.7838 0.3192 0.7028
```

The following is a DFT calculation (PBE) of a relaxed structure of CaCSeBr2.

Computed properties:
**Space-group type**: P4/mmm
**Energy relative to the elements, uncorrected**: 0.122 eV per atom
**Uncorrected energy**: -3.49 eV per atom

The structure in POSCAR format:
```
CaCSeBr2
1.0
4.8710 0.0000 0.0000
0.0000 4.8710 0.0000
0.0000 0.0000 4.5520
Ca C Se Br
1 1 1 2
Direct
0.0000 0.0000 0.0000
0.5000 0.5000 0.5000
0.5000 0.5000 0.0000
0.0000 0.5000 0.5000
0.5000 0.0000 0.5000
```

The following is a DFT calculation (PBE) of a relaxed structure of LiW2Se.

Computed properties:
**Space-group type**: I-42d
**Energy relative to the elements, uncorrected**: 0.481 eV per atom
**Uncorrected energy**: -7.35 eV per atom

The structure in POSCAR format:
```
LiW2Se
1.0
-1.8597 1.8597 9.5260
1.8597 -1.8597 9.5260
1.8597 1.8597 -9.5260
Li W Se
2 4 2
Direct
0.0000 0.0000 0.0000
0.7500 0.2500 0.5000
0.1208 0.6250 0.9958
0.3750 0.3708 0.4958
0.6292 0.1250 0.0042
0.8750 0.8792 0.5042
0.2500 0.7500 0.5000
0.5000 0.5000 0.0000
```